HfAlRh | PBE | optimized geometry

a b c (Å): 4.8232 6.9741 6.9752
angles (deg): 78.28 75.47 75.47
With the nearest neighbours (Å) after each atom.
Fractional coordinates of all 12 atoms:
Al (0.6403, 0.8811, 0.1311)  4 Rh 2.49-2.61, 2 Al 2.61
Al (0.3597, 0.1189, 0.8689)  4 Rh 2.49-2.61, 2 Al 2.61
Al (0.6403, 0.3811, 0.6311)  4 Rh 2.49-2.61, 2 Al 2.61
Al (0.3597, 0.6189, 0.3689)  4 Rh 2.49-2.61, 2 Al 2.61
Hf (0.2203, 0.1688, 0.4188)  3 Rh 2.60-2.73
Hf (0.7797, 0.3312, 0.0812)  3 Rh 2.60-2.73
Hf (0.7797, 0.8312, 0.5812)  3 Rh 2.60-2.73
Hf (0.2203, 0.6688, 0.9188)  3 Rh 2.60-2.73
Rh (0.9251, 0.5425, 0.2925)  4 Al 2.49-2.61, 3 Hf 2.60-2.73
Rh (0.0749, 0.4575, 0.7075)  4 Al 2.49-2.61, 3 Hf 2.60-2.73
Rh (0.0750, 0.9575, 0.2075)  4 Al 2.49-2.61, 3 Hf 2.60-2.73
Rh (0.9250, 0.0425, 0.7925)  4 Al 2.49-2.61, 3 Hf 2.60-2.73

Values from the calculation:
* volume: 18.1 Å³/atom
* total moment: 0.0 Bohr magnetons per cell
* energy of formation from the pure elements: -0.64 eV per atom
* space-group type: No. 11

HfAl4Rh5 | PBE | optimized geometry

a b c (Å): 2.9841 2.9841 16.0518
angles (deg): 90.00 90.00 90.00
With the nearest neighbours (Å) after each atom.
Fractional coordinates of all 10 atoms:
Rh (0.5000, 0.5000, 0.5000)  8 Al 2.61
Rh (0.5000, 0.5000, 0.8800)  4 Al 2.59, 4 Hf 2.86
Rh (0.5000, 0.5000, 0.3117)  8 Al 2.59-2.64
Rh (0.5000, 0.5000, 0.1200)  4 Al 2.59, 4 Hf 2.86
Rh (0.5000, 0.5000, 0.6883)  8 Al 2.59-2.64
Al (0.0000, 0.0000, 0.7870)  8 Rh 2.59-2.64
Al (0.0000, 0.0000, 0.5952)  8 Rh 2.59-2.61
Al (0.0000, 0.0000, 0.2130)  8 Rh 2.59-2.64
Al (0.0000, 0.0000, 0.4048)  8 Rh 2.59-2.61
Hf (0.0000, 0.0000, 0.0000)  8 Rh 2.86, 4 Hf 2.98

Values from the calculation:
* volume: 14.3 Å³/atom
* total moment: 0.0 Bohr magnetons per cell
* energy of formation from the pure elements: -1.05 eV per atom
* space-group type: No. 123

Repeat the first record exactly.
HfAlRh | PBE | optimized geometry

a b c (Å): 4.8232 6.9741 6.9752
angles (deg): 78.28 75.47 75.47
With the nearest neighbours (Å) after each atom.
Fractional coordinates of all 12 atoms:
Al (0.6403, 0.8811, 0.1311)  4 Rh 2.49-2.61, 2 Al 2.61
Al (0.3597, 0.1189, 0.8689)  4 Rh 2.49-2.61, 2 Al 2.61
Al (0.6403, 0.3811, 0.6311)  4 Rh 2.49-2.61, 2 Al 2.61
Al (0.3597, 0.6189, 0.3689)  4 Rh 2.49-2.61, 2 Al 2.61
Hf (0.2203, 0.1688, 0.4188)  3 Rh 2.60-2.73
Hf (0.7797, 0.3312, 0.0812)  3 Rh 2.60-2.73
Hf (0.7797, 0.8312, 0.5812)  3 Rh 2.60-2.73
Hf (0.2203, 0.6688, 0.9188)  3 Rh 2.60-2.73
Rh (0.9251, 0.5425, 0.2925)  4 Al 2.49-2.61, 3 Hf 2.60-2.73
Rh (0.0749, 0.4575, 0.7075)  4 Al 2.49-2.61, 3 Hf 2.60-2.73
Rh (0.0750, 0.9575, 0.2075)  4 Al 2.49-2.61, 3 Hf 2.60-2.73
Rh (0.9250, 0.0425, 0.7925)  4 Al 2.49-2.61, 3 Hf 2.60-2.73

Values from the calculation:
* volume: 18.1 Å³/atom
* total moment: 0.0 Bohr magnetons per cell
* energy of formation from the pure elements: -0.64 eV per atom
* space-group type: No. 11